Entry from the Alexandria database: a relaxed KNb2GaFe crystal (GGA-PBE).

```
KNb2GaFe
1.0
-2.597 -2.244 3.052
-1.566 -3.012 -3.548
3.494 -2.850 0.877
Fe Nb Ga K
1 2 1 1
Cartesian
-0.335 -4.053 0.191 Fe
-1.298 -1.122 1.526 Nb
1.747 -1.425 0.439 Nb
-0.783 -1.506 -1.774 Ga
0.000 0.000 0.000 K
```

- Magnetic moment: 0.01 μB per atom
- E_form: 2851.7 meV per atom
- Density of states at the Fermi level: 1.417 states/eV/atom
- Crystal system: tetragonal

***

Entry from the Alexandria database: a relaxed PuF5 crystal (GGA-PBE).

```
PuF5
1.0
0.089 -0.718 4.420
1.161 -5.038 1.427
4.788 0.758 2.296
Pu F
1 5
Cartesian
0.000 0.000 0.000 Pu
3.984 -3.872 3.829 F
2.053 -1.127 4.315 F
4.457 -1.902 6.410 F
1.581 -3.097 1.734 F
0.044 -0.359 2.210 F
```

- Raw formation energy: -3.1275 eV/atom
- Magnetic moment: 0.50 μB per atom
- Density of states at the Fermi level: 0.925 states/eV/atom
- Energy above the most stable polymorph in this dataset: 0 meV per atom
- Crystal system: tetragonal

***

Entry from the Alexandria database: a relaxed TlSiPb4 crystal (GGA-PBE).

```
TlSiPb4
1.0
0.319 -4.541 4.606
-5.378 -1.860 3.092
-2.483 -5.884 -1.076
Pb Si Tl
4 1 1
Cartesian
-5.516 -5.537 4.029 Pb
-2.828 -4.607 2.483 Pb
-4.069 -7.548 1.946 Pb
-2.669 -6.877 4.786 Pb
-5.656 -9.214 4.966 Si
0.000 0.000 0.000 Tl
```

- Raw formation energy: 0.4401 eV/atom
- Magnetic moment: 0.00 μB per atom
- Density of states at the Fermi level: 0.627 states/eV/atom
- Crystal system: cubic

***

Entry from the Alexandria database: a relaxed PrLuThIn crystal (GGA-PBE).

```
PrLuThIn
1.0
-4.683 -0.281 -2.939
-0.323 -3.374 -4.377
-3.148 -4.547 0.237
Pr In Lu Th
1 1 1 1
Cartesian
-4.077 -4.101 -3.540 Pr
-6.115 -6.151 -5.310 In
-2.038 -2.050 -1.770 Lu
0.000 0.000 0.000 Th
```

- Magnetic moment: 0.00 μB per atom
- E_form: -76.0 meV per atom
- Density of states at the Fermi level: 1.138 states/eV/atom
- Crystal system: cubic

***

Entry from the Alexandria database: a relaxed TlCoTe4 crystal (GGA-PBE).

```
TlCoTe4
1.0
0.000 4.539 4.539
4.539 0.000 4.539
4.539 4.539 0.000
Te Co Tl
4 1 1
Cartesian
5.683 5.683 3.395 Te
3.395 3.395 3.395 Te
3.395 5.683 5.683 Te
5.683 3.395 5.683 Te
0.000 0.000 0.000 Co
6.808 6.808 6.808 Tl
```

- Raw formation energy: 0.6811 eV/atom
- Magnetic moment: 0.40 μB per atom
- Density of states at the Fermi level: 1.074 states/eV/atom
- Crystal system: cubic

***

Entry from the Alexandria database: a relaxed CaPS2 crystal (GGA-PBE).

```
CaPS2
1.0
2.134 -0.800 4.196
1.336 3.677 2.739
-2.322 0.912 4.072
S Ca P
2 1 1
Cartesian
0.287 0.947 2.752 S
0.861 2.841 8.255 S
0.574 1.894 5.503 Ca
0.000 0.000 0.000 P
```

- Raw formation energy: -0.2825 eV/atom
- Magnetic moment: 0.00 μB per atom
- Density of states at the Fermi level: 0.889 states/eV/atom
- Energy above the most stable polymorph in this dataset: 289 meV per atom
- Crystal system: cubic

***

Entry from the Alexandria database: a relaxed TmPuSi2 crystal (GGA-PBE).

```
TmPuSi2
1.0
3.208 0.000 0.000
0.000 3.208 0.000
0.000 0.000 7.952
Si Pu Tm
2 1 1
Cartesian
0.000 0.000 2.004 Si
0.000 0.000 5.947 Si
1.604 1.604 0.000 Pu
1.604 1.604 3.976 Tm
```

- Raw formation energy: -0.4104 eV/atom
- Magnetic moment: 1.38 μB per atom
- Density of states at the Fermi level: 1.869 states/eV/atom
- Energy above the most stable polymorph in this dataset: 189 meV per atom
- Crystal system: tetragonal

***

Entry from the Alexandria database: a relaxed Hf3InTe crystal (GGA-PBE).

```
Hf3InTe
1.0
-3.163 3.776 -1.824
-0.090 -5.241 -3.131
-6.328 -2.972 4.823
Te Hf In
2 6 2
Cartesian
-6.372 -3.980 2.810 Te
-3.211 -0.456 -2.942 Te
-2.638 -2.925 -1.481 Hf
-6.944 -1.512 1.349 Hf
-5.785 -1.930 -1.528 Hf
-1.410 -0.910 0.561 Hf
-8.172 -3.526 -0.693 Hf
-3.797 -2.506 1.396 Hf
-5.383 -4.626 -0.241 In
-4.199 0.189 0.109 In
```

- Raw formation energy: -0.0359 eV/atom
- Magnetic moment: 0.00 μB per atom
- Density of states at the Fermi level: 0.856 states/eV/atom
- Energy above the most stable polymorph in this dataset: 0 meV per atom
- Crystal system: monoclinic

***

Entry from the Alexandria database: a relaxed Cs3Cd6Ag crystal (GGA-PBE).

```
Cs3Cd6Ag
1.0
-0.447 6.745 -0.503
-5.152 -3.086 -6.355
-2.875 -1.861 8.045
Cs Cd Ag
3 6 1
Cartesian
-4.378 3.031 0.434 Cs
-2.717 0.589 -3.337 Cs
-1.579 1.202 3.864 Cs
-4.376 3.787 -5.354 Cd
-2.623 4.731 5.735 Cd
-6.398 -0.515 1.055 Cd
-0.983 4.417 1.489 Cd
-1.506 4.135 -1.824 Cd
-1.910 -0.168 0.316 Cd
-0.141 2.133 -0.159 Ag
```

- Magnetic moment: 0.00 μB per atom
- E_form: 1.5 meV per atom
- Density of states at the Fermi level: 0.503 states/eV/atom
- Crystal system: trigonal

***

Entry from the Alexandria database: a relaxed Cs2HfReCl6 crystal (GGA-PBE).

```
Cs2HfReCl6
1.0
6.897 0.000 0.000
0.000 6.897 0.000
3.448 3.448 6.107
Cl Cs Re Hf
6 2 1 1
Cartesian
1.696 5.201 0.000 Cl
5.201 1.696 0.000 Cl
3.448 3.448 2.546 Cl
1.696 1.696 0.000 Cl
5.201 5.201 0.000 Cl
6.897 6.897 3.562 Cl
3.448 6.897 3.054 Cs
6.897 3.448 3.054 Cs
0.000 0.000 0.000 Re
3.448 3.448 0.000 Hf
```

- Raw formation energy: -1.0284 eV/atom
- Magnetic moment: 0.10 μB per atom
- Density of states at the Fermi level: 0.153 states/eV/atom
- Crystal system: tetragonal

***

Entry from the Alexandria database: a relaxed ZnAs2Ru crystal (GGA-PBE).

```
ZnAs2Ru
1.0
5.587 0.000 0.000
0.000 5.587 0.000
2.793 2.793 5.701
As Ru Zn
4 2 2
Cartesian
4.190 4.060 4.276 As
6.983 7.113 4.276 As
4.320 1.397 1.425 As
1.267 4.190 1.425 As
0.000 0.000 0.000 Ru
5.587 2.793 2.851 Ru
2.793 2.793 0.000 Zn
2.793 5.587 2.851 Zn
```

- Magnetic moment: 0.00 μB per atom
- E_form: 84.4 meV per atom
- Density of states at the Fermi level: 0.528 states/eV/atom
- Crystal system: tetragonal

***

Entry from the Alexandria database: a relaxed Mn2NiRh crystal (GGA-PBE).

```
Mn2NiRh
1.0
-3.523 0.108 2.309
-1.944 -2.416 -2.853
0.900 -2.483 1.489
Mn Rh Ni
2 1 1
Cartesian
-2.733 -1.154 -0.272 Mn
0.000 0.000 0.000 Mn
-0.522 -2.449 -0.682 Rh
-1.311 -1.187 1.899 Ni
```

- Magnetic moment: 2.20 μB per atom
- E_form: -99.6 meV per atom
- Density of states at the Fermi level: 0.494 states/eV/atom
- Crystal system: tetragonal